No. 1
Density functional theory data (PBE) for crystalline LiGeRh at its relaxed geometry.

POSCAR file:
```
LiGeRh
1.0
5.7410 0.0000 0.0000
0.0000 5.7410 0.0000
0.0000 0.0000 5.7410
Li Ge Rh
4 4 4
Cartesian
0.0000 0.0000 0.0000
0.0000 2.8705 2.8705
2.8705 0.0000 2.8705
2.8705 2.8705 0.0000
1.4352 1.4352 4.3057
1.4352 4.3057 1.4352
4.3057 1.4352 1.4352
4.3057 4.3057 4.3057
0.0000 0.0000 2.8705
0.0000 2.8705 0.0000
2.8705 0.0000 0.0000
2.8705 2.8705 2.8705
```

Computed properties:
**Density of states at the Fermi level**: 3.0 states/eV/cell



No. 2
Density functional theory data (PBE) for crystalline Li4GeRh at its relaxed geometry.

POSCAR file:
```
Li4GeRh
1.0
6.5831 0.0000 0.0000
0.0000 7.6625 0.0000
-2.8746 0.0000 3.2922
Li Ge Rh
8 2 2
Cartesian
0.9139 1.2778 0.8109
0.9139 6.3847 0.8109
-0.4970 2.5535 2.4814
-0.4970 5.1090 2.4814
4.2055 2.5535 0.8109
4.2055 5.1090 0.8109
2.7945 1.2778 2.4814
2.7945 6.3847 2.4814
0.0000 3.8313 0.0000
3.2915 0.0000 0.0000
-1.4373 0.0000 1.6461
1.8542 3.8313 1.6461
```

Computed properties:
**Density of states at the Fermi level**: 4.3 states/eV/cell



No. 3
Density functional theory data (PBE) for crystalline LiGe2Rh at its relaxed geometry.

POSCAR file:
```
LiGe2Rh
1.0
6.1479 0.0000 0.0000
0.0000 6.1479 0.0000
0.0000 0.0000 6.1479
Li Ge Rh
4 8 4
Cartesian
0.0000 0.0000 0.0000
0.0000 3.0739 3.0739
3.0739 0.0000 3.0739
3.0739 3.0739 0.0000
1.5370 1.5370 1.5370
1.5370 1.5370 4.6109
1.5370 4.6109 1.5370
1.5370 4.6109 4.6109
4.6109 1.5370 1.5370
4.6109 1.5370 4.6109
4.6109 4.6109 1.5370
4.6109 4.6109 4.6109
0.0000 0.0000 3.0739
0.0000 3.0739 0.0000
3.0739 0.0000 0.0000
3.0739 3.0739 3.0739
```

Computed properties:
**Density of states at the Fermi level**: 6.5 states/eV/cell



No. 4
Density functional theory data (PBE) for crystalline Li6GeRh2 at its relaxed geometry.

POSCAR file:
```
Li6GeRh2
1.0
6.4980 -1.9632 0.0000
6.4980 1.9632 0.0000
-2.1567 0.0000 5.1237
Li Ge Rh
6 1 2
Cartesian
0.9414 0.0000 0.7507
0.9823 0.0000 4.3476
3.3370 0.0000 2.6847
7.5023 0.0000 2.4389
9.8570 0.0000 0.7761
9.8979 0.0000 4.3730
-1.0784 0.0000 2.5618
5.4020 0.0000 1.0190
5.4373 0.0000 4.1047
```

Computed properties:
**Density of states at the Fermi level**: 3.6 states/eV/cell



No. 5
Density functional theory data (PBE) for crystalline LiGe2Rh at its relaxed geometry.

POSCAR file:
```
LiGe2Rh
1.0
14.7330 0.0000 0.0000
0.0000 6.9886 0.0000
0.0000 0.0000 5.1047
Li Ge Rh
8 16 8
Cartesian
1.5456 1.7472 1.2172
2.1461 5.2415 2.4377
5.2205 1.7472 4.9901
5.8210 5.2415 3.7696
8.9121 1.7472 1.3351
9.5126 5.2415 0.1146
12.5870 1.7472 2.6670
13.1875 5.2415 3.8875
0.4774 0.3209 3.7272
0.4774 3.1734 3.7272
3.1111 3.8106 5.0244
3.1111 6.6724 5.0244
4.2554 0.3163 2.4721
4.2554 3.1780 2.4721
6.8891 3.8152 1.1749
6.8891 6.6678 1.1749
7.8439 0.3209 3.9298
7.8439 3.1734 3.9298
10.4776 3.8106 2.6326
10.4776 6.6724 2.6326
11.6220 0.3163 0.0803
11.6220 3.1780 0.0803
14.2556 3.8152 1.3775
14.2556 6.6678 1.3775
1.0627 5.2415 5.0477
2.5785 1.7472 3.7101
4.7880 5.2415 1.1578
6.3039 1.7472 2.4953
8.4292 5.2415 2.6094
9.9451 1.7472 3.9469
12.1545 5.2415 1.3945
13.6704 1.7472 0.0570
```

Computed properties:
**Density of states at the Fermi level**: 9.1 states/eV/cell



No. 6
Density functional theory data (PBE) for crystalline LiGe2Rh4 at its relaxed geometry.

POSCAR file:
```
LiGe2Rh4
1.0
4.0851 0.0000 0.0000
0.0000 4.0851 0.0000
0.0000 0.0000 12.5364
Li Ge Rh
2 4 8
Cartesian
0.0000 0.0000 0.0000
2.0425 2.0425 6.2682
0.0000 0.0000 4.6591
0.0000 0.0000 7.8773
2.0425 2.0425 1.6091
2.0425 2.0425 10.9273
0.0000 0.0000 2.3049
0.0000 0.0000 10.2315
0.0000 2.0425 0.0000
0.0000 2.0425 6.2682
2.0425 0.0000 0.0000
2.0425 0.0000 6.2682
2.0425 2.0425 3.9633
2.0425 2.0425 8.5732
```

Computed properties:
**Density of states at the Fermi level**: 19.0 states/eV/cell



No. 7
Density functional theory data (PBE) for crystalline Li2Ge4Rh3 at its relaxed geometry.

POSCAR file:
```
Li2Ge4Rh3
1.0
0.0000 4.6887 6.0118
2.7722 0.0000 6.0118
2.7722 4.6887 0.0000
Li Ge Rh
2 4 3
Cartesian
2.7722 4.6887 1.3030
2.7722 4.6887 10.7207
2.7722 3.0880 4.0865
2.7722 3.0880 7.9371
2.7722 6.2894 4.0865
2.7722 6.2894 7.9371
1.3861 2.3443 0.0000
1.3861 2.3443 6.0118
2.7722 4.6887 6.0118
```

Computed properties:
**Density of states at the Fermi level**: 5.0 states/eV/cell



No. 8
Density functional theory data (PBE) for crystalline LiGe4Rh at its relaxed geometry.

POSCAR file:
```
LiGe4Rh
1.0
6.0835 0.0000 0.0000
2.6282 5.4961 0.0000
0.7823 0.5030 6.5068
Li Ge Rh
2 8 2
Cartesian
1.7467 2.4631 1.6210
7.7473 3.5360 4.8858
3.4376 4.9990 0.9034
2.6307 1.1256 3.7068
3.3878 1.6022 6.0497
4.6582 3.9495 4.1537
4.8358 2.0496 2.3530
6.1062 4.3969 0.4570
6.8633 4.8735 2.8000
6.0564 1.0001 5.6033
0.3911 0.2515 3.2534
4.3558 2.7480 0.0000
```

Computed properties:
**Density of states at the Fermi level**: 4.0 states/eV/cell



No. 9
Density functional theory data (PBE) for crystalline Li2Ge2Rh at its relaxed geometry.

POSCAR file:
```
Li2Ge2Rh
1.0
4.4616 -2.4802 0.0000
4.4616 2.4802 0.0000
-3.8190 0.0000 6.4398
Li Ge Rh
4 4 2
Cartesian
1.5035 1.7847 3.5541
1.6911 1.7847 6.1056
3.4131 -1.7847 0.3342
3.6007 -1.7847 2.8857
-0.5644 0.6623 5.4884
1.3451 -0.6623 2.2685
3.7591 0.6623 4.1713
5.6686 -0.6623 0.9514
3.5069 0.7143 1.6100
1.5973 -0.7143 4.8299
```

Computed properties:
**Density of states at the Fermi level**: 3.2 states/eV/cell



No. 10
Density functional theory data (PBE) for crystalline LiGeRh at its relaxed geometry.

POSCAR file:
```
LiGeRh
1.0
4.1833 0.0000 0.0000
-2.0917 3.6229 0.0000
0.0000 0.0000 2.8919
Li Ge Rh
1 1 1
Cartesian
0.0000 0.0000 0.0000
2.0917 1.2076 1.6427
0.0000 2.4153 1.3759
```

Computed properties:
**Density of states at the Fermi level**: 1.2 states/eV/cell



No. 11
Density functional theory data (PBE) for crystalline Li3GeRh at its relaxed geometry.

POSCAR file:
```
Li3GeRh
1.0
4.5920 0.0000 0.0000
0.0000 4.7935 0.0000
-1.8464 0.0000 7.0708
Li Ge Rh
6 2 2
Cartesian
0.4140 0.0325 1.2292
0.4140 2.3643 1.2292
0.1473 3.5952 3.7550
2.5983 1.1984 3.3158
2.3316 2.4293 5.8416
2.3316 4.7611 5.8416
0.0565 1.1984 5.4315
2.6891 3.5952 1.6392
0.0600 3.5952 6.3372
2.6856 1.1984 0.7335
```

Computed properties:
**Density of states at the Fermi level**: 3.0 states/eV/cell



No. 12
Density functional theory data (PBE) for crystalline Li3Ge3Rh2 at its relaxed geometry.

POSCAR file:
```
Li3Ge3Rh2
1.0
2.0898 -5.1039 0.0000
2.0898 5.1039 0.0000
0.0000 0.0000 12.8622
Li Ge Rh
6 6 4
Cartesian
2.0898 4.3362 7.8781
2.0898 4.3362 11.4152
2.0898 1.4226 9.6467
2.0898 -1.4226 3.2156
2.0898 -4.3362 1.4470
2.0898 -4.3362 4.9841
2.0898 1.8954 3.2156
2.0898 1.0821 7.0746
2.0898 1.0821 12.2187
2.0898 -1.0821 0.6435
2.0898 -1.0821 5.7876
2.0898 -1.8954 9.6467
2.0898 2.8751 1.0485
2.0898 2.8751 5.3826
2.0898 -2.8751 7.4796
2.0898 -2.8751 11.8137
```

Computed properties:
**Density of states at the Fermi level**: 5.8 states/eV/cell



No. 13
Density functional theory data (PBE) for crystalline Li23GeRh6 at its relaxed geometry.

POSCAR file:
```
Li23GeRh6
1.0
0.0000 6.0373 6.0373
6.0373 0.0000 6.0373
6.0373 6.0373 0.0000
Li Ge Rh
23 1 6
Cartesian
0.0000 0.0000 0.0000
3.0186 3.0186 0.0000
3.0186 0.0000 3.0186
6.0373 3.0186 3.0186
7.6061 4.4685 4.4685
1.4477 1.4477 1.4477
4.5896 4.5896 1.4477
4.5896 1.4477 4.5896
10.6269 7.4849 7.4849
4.4685 4.4685 4.4685
7.6061 7.6061 4.4685
7.6061 4.4685 7.6061
0.0000 3.0186 3.0186
3.0186 6.0373 3.0186
3.0186 3.0186 6.0373
4.4685 7.6061 4.4685
4.4685 4.4685 7.6061
7.6061 7.6061 7.6061
1.4477 4.5896 4.5896
7.4849 10.6269 7.4849
7.4849 7.4849 10.6269
10.6269 10.6269 10.6269
4.4685 7.6061 7.6061
6.0373 6.0373 6.0373
6.0373 6.0373 3.2986
6.0373 3.2986 6.0373
8.7759 6.0373 6.0373
3.2986 6.0373 6.0373
6.0373 8.7759 6.0373
6.0373 6.0373 8.7759
```

Computed properties:
**Density of states at the Fermi level**: 7.1 states/eV/cell



No. 14
Density functional theory data (PBE) for crystalline LiGeRh3 at its relaxed geometry.

POSCAR file:
```
LiGeRh3
1.0
4.5757 0.0000 0.0000
0.0000 4.5757 0.0000
0.0000 0.0000 4.5757
Li Ge Rh
1 1 3
Cartesian
0.0000 0.0000 0.0000
2.2878 2.2878 2.2878
0.0000 2.2878 2.2878
2.2878 0.0000 2.2878
2.2878 2.2878 0.0000
```

Computed properties:
**Density of states at the Fermi level**: 7.3 states/eV/cell



No. 15
Density functional theory data (PBE) for crystalline LiGe2Rh at its relaxed geometry.

POSCAR file:
```
LiGe2Rh
1.0
3.0899 0.0000 0.0000
0.0000 3.0899 0.0000
0.0000 0.0000 6.7746
Li Ge Rh
1 2 1
Cartesian
0.0000 0.0000 0.0000
1.5449 1.5449 1.8882
1.5449 1.5449 4.8864
0.0000 0.0000 3.3873
```

Computed properties:
**Density of states at the Fermi level**: 2.8 states/eV/cell



No. 16
Density functional theory data (PBE) for crystalline LiGe2Rh at its relaxed geometry.

POSCAR file:
```
LiGe2Rh
1.0
7.3852 0.0000 0.0000
0.0000 7.3852 0.0000
0.0000 0.0000 5.2540
Li Ge Rh
4 8 4
Cartesian
0.0000 0.0000 0.0000
0.0000 3.6926 1.3135
3.6926 0.0000 3.9405
3.6926 3.6926 2.6270
1.4661 1.8463 3.2838
1.8463 5.1587 4.5973
1.8463 5.9191 1.9703
2.2265 1.8463 0.6568
5.1587 5.5389 0.6568
5.5389 1.4661 1.9703
5.5389 2.2265 4.5973
5.9191 5.5389 3.2838
0.0000 0.0000 2.6270
0.0000 3.6926 3.9405
3.6926 0.0000 1.3135
3.6926 3.6926 0.0000
```

Computed properties:
**Density of states at the Fermi level**: 9.7 states/eV/cell



No. 17
Density functional theory data (PBE) for crystalline LiGe3Rh3 at its relaxed geometry.

POSCAR file:
```
LiGe3Rh3
1.0
6.7339 0.0000 0.0000
0.0000 6.7339 0.0000
0.0000 0.0000 6.7339
Li Ge Rh
2 6 6
Cartesian
0.0000 0.0000 0.0000
3.3670 3.3670 3.3670
0.0000 1.6835 3.3670
0.0000 5.0504 3.3670
1.6835 3.3670 0.0000
3.3670 0.0000 1.6835
3.3670 0.0000 5.0504
5.0504 3.3670 0.0000
0.0000 3.3670 1.6835
0.0000 3.3670 5.0504
1.6835 0.0000 3.3670
3.3670 1.6835 0.0000
3.3670 5.0504 0.0000
5.0504 0.0000 3.3670
```

Computed properties:
**Density of states at the Fermi level**: 6.7 states/eV/cell



No. 18
Density functional theory data (PBE) for crystalline LiGe3Rh at its relaxed geometry.

POSCAR file:
```
LiGe3Rh
1.0
6.1276 0.0000 0.0000
-3.0638 5.3066 0.0000
0.0000 0.0000 5.6343
Li Ge Rh
2 6 2
Cartesian
0.0000 3.5378 1.4086
3.0638 1.7689 4.2258
0.0000 2.0712 4.2258
-1.2701 4.2711 4.2258
1.7937 1.0356 1.4086
1.2701 4.2711 4.2258
4.3339 1.0356 1.4086
3.0638 3.2355 1.4086
0.0000 0.0000 0.0000
0.0000 0.0000 2.8172
```

Computed properties:
**Density of states at the Fermi level**: 3.4 states/eV/cell



No. 19
Density functional theory data (PBE) for crystalline Li4GeRh at its relaxed geometry.

POSCAR file:
```
Li4GeRh
1.0
2.5943 0.0000 0.0000
0.0000 4.3431 0.0000
-0.0163 0.0000 7.5591
Li Ge Rh
4 1 1
Cartesian
0.0960 0.0000 1.2846
0.1131 2.1715 5.0076
2.4649 2.1715 2.5515
2.4820 0.0000 6.2745
1.2972 2.1715 0.0000
1.2890 0.0000 3.7796
```

Computed properties:
**Density of states at the Fermi level**: 2.7 states/eV/cell



No. 20
Density functional theory data (PBE) for crystalline Li3Ge4Rh4 at its relaxed geometry.

POSCAR file:
```
Li3Ge4Rh4
1.0
-1.9301 3.5648 6.4720
1.9301 -3.5648 6.4720
1.9301 3.5648 -6.4720
Li Ge Rh
3 4 4
Cartesian
0.0000 0.0000 0.0000
1.9301 0.0000 4.8268
0.0000 3.5648 1.6452
0.0000 0.0000 2.8013
1.9301 2.1695 0.0000
0.0000 1.3953 6.4720
0.0000 0.0000 10.1428
1.9301 1.4486 -2.2415
1.9301 1.4486 2.2415
0.0000 2.1162 4.2305
0.0000 2.1162 8.7135
```

Computed properties:
**Density of states at the Fermi level**: 3.3 states/eV/cell



Asked for formation energy from the elements across the records above, the calculation gives -0.3788; -0.3569; -0.3751; -0.2469; -0.3887; 0.1250; -0.2889; -0.2027; -0.4168; -0.4702; -0.3318; -0.4472; -0.0896; 0.4074; -0.3165; -0.1080; -0.0980; -0.1910; -0.2213; -0.4448 eV/atom in order.